Record 1
The following is a PBE calculation of crystalline Ba2PPdBr at its relaxed geometry, from Alexandria via LeMat-Bulk.

Computed properties:
The value obtained for the total energy is -4.3345 eV per atom. The formation energy without anion corrections is -1.110 eV per atom.

Structure (CIF):
```
data_Ba2PPdBr
_chemical_formula_sum 'Ba2 P1 Pd1 Br1'
_symmetry_space_group_name_H-M 'P 4/m m m'
_symmetry_Int_Tables_number 123
_symmetry_space_group_name_Hall '-P 4 2'
_cell_length_a 6.217
_cell_length_b 6.217
_cell_length_c 4.506
_cell_angle_alpha 90.00
_cell_angle_beta 90.00
_cell_angle_gamma 90.00
loop_
_atom_site_label
_atom_site_type_symbol
_atom_site_fract_x
_atom_site_fract_y
_atom_site_fract_z
Ba1 Ba 0.000 0.500 0.000
P1 P 0.000 0.000 0.000
Pd1 Pd 0.000 0.000 0.500
Br1 Br 0.500 0.500 0.500
```

=====

Record 2
The following is a PBE calculation of crystalline Y6O at its relaxed geometry, from Alexandria via LeMat-Bulk.

Computed properties:
The value obtained for the total energy is -7.0429 eV per atom. The formation energy without anion corrections is -0.794 eV per atom.

Structure (CIF):
```
data_Y6O
_chemical_formula_sum 'Y24 O4'
_symmetry_space_group_name_H-M 'P n m a'
_symmetry_Int_Tables_number 62
_cell_length_a 11.511
_cell_length_b 10.777
_cell_length_c 6.218
_cell_angle_alpha 90.00
_cell_angle_beta 90.00
_cell_angle_gamma 90.00
loop_
_symmetry_equiv_pos_as_xyz
'x,y,z'
'-x,-y,-z'
'-x+1/2,-y,z+1/2'
'x+1/2,y,-z+1/2'
'x+1/2,-y+1/2,-z+1/2'
'-x+1/2,y+1/2,z+1/2'
'-x,y+1/2,-z'
'x,-y+1/2,z'
loop_
_atom_site_label
_atom_site_type_symbol
_atom_site_fract_x
_atom_site_fract_y
_atom_site_fract_z
Y1 Y 0.000 0.250 0.232
Y2 Y 0.002 0.090 0.749
Y3 Y 0.242 0.250 0.588
Y4 Y 0.245 0.088 0.075
O1 O 0.124 0.250 0.913
```

=====

Record 3
The following is a PBE calculation of crystalline FeSiGe at its relaxed geometry, from Alexandria via LeMat-Bulk.

Computed properties:
The value obtained for the total energy is -6.3454 eV per atom. The formation energy without anion corrections is -0.178 eV per atom.

Structure (CIF):
```
data_FeSiGe
_chemical_formula_sum 'Fe16 Si16 Ge16'
_symmetry_space_group_name_H-M 'C m c e'
_symmetry_Int_Tables_number 64
_symmetry_space_group_name_Hall '-C 2ac 2'
_cell_length_a 10.239
_cell_length_b 7.928
_cell_length_c 8.029
_cell_angle_alpha 90.00
_cell_angle_beta 90.00
_cell_angle_gamma 90.00
loop_
_atom_site_label
_atom_site_type_symbol
_atom_site_fract_x
_atom_site_fract_y
_atom_site_fract_z
Fe1 Fe 0.000 0.196 0.187
Fe2 Fe 0.217 0.000 0.000
Si1 Si 0.127 0.230 0.456
Ge1 Ge 0.126 0.042 0.727
```

=====

Record 4
The following is a PBE calculation of crystalline SrErB12 at its relaxed geometry, from Alexandria via LeMat-Bulk.

Computed properties:
The value obtained for the total energy is -6.5884 eV per atom. The calculation puts the formation energy from the elements at -565.8 kJ/mol of formula units.

Structure (CIF):
```
data_SrErB12
_chemical_formula_sum 'Sr1 Er1 B12'
_symmetry_space_group_name_H-M 'P 4/m m m'
_symmetry_Int_Tables_number 123
_symmetry_space_group_name_Hall '-P 4 2'
_cell_length_a 4.137
_cell_length_b 4.137
_cell_length_c 8.278
_cell_angle_alpha 90.00
_cell_angle_beta 90.00
_cell_angle_gamma 90.00
loop_
_atom_site_label
_atom_site_type_symbol
_atom_site_fract_x
_atom_site_fract_y
_atom_site_fract_z
Sr1 Sr 0.000 0.000 0.000
Er1 Er 0.000 0.000 0.500
B1 B 0.200 0.500 0.254
B2 B 0.500 0.500 0.102
B3 B 0.500 0.500 0.402
```

=====

Record 5
The following is a PBE calculation of crystalline ErLuZnIn at its relaxed geometry, from Alexandria via LeMat-Bulk.

Computed properties:
The value obtained for the total energy is -3.6465 eV per atom. The calculation puts the formation energy from the elements at -143.7 kJ/mol of formula units.

Structure (CIF):
```
data_ErLuZnIn
_chemical_formula_sum 'Er4 Lu4 Zn4 In4'
_symmetry_space_group_name_H-M 'F -4 3 m'
_symmetry_Int_Tables_number 216
_symmetry_space_group_name_Hall 'F -4 2 3'
_cell_length_a 7.242
_cell_length_b 7.242
_cell_length_c 7.242
_cell_angle_alpha 90.00
_cell_angle_beta 90.00
_cell_angle_gamma 90.00
loop_
_atom_site_label
_atom_site_type_symbol
_atom_site_fract_x
_atom_site_fract_y
_atom_site_fract_z
Er1 Er 0.000 0.000 0.000
Lu1 Lu 0.000 0.000 0.500
Zn1 Zn 0.250 0.250 0.250
In1 In 0.250 0.250 0.750
```

=====

Record 6
The following is a PBE calculation of crystalline LaHf2Re at its relaxed geometry, from Alexandria via LeMat-Bulk.

Computed properties:
Its distance to the lowest polymorph of the same formula is 0 meV/atom. The value obtained for the total energy is -9.4128 eV per atom. The calculation puts the formation energy from the elements at -35.6 kJ/mol of formula units.

Structure (CIF):
```
data_LaHf2Re
_chemical_formula_sum 'La1 Hf2 Re1'
_symmetry_space_group_name_H-M 'P 4/m m m'
_symmetry_Int_Tables_number 123
_symmetry_space_group_name_Hall '-P 4 2'
_cell_length_a 3.328
_cell_length_b 3.328
_cell_length_c 8.402
_cell_angle_alpha 90.00
_cell_angle_beta 90.00
_cell_angle_gamma 90.00
loop_
_atom_site_label
_atom_site_type_symbol
_atom_site_fract_x
_atom_site_fract_y
_atom_site_fract_z
La1 La 0.000 0.000 0.000
Hf1 Hf 0.500 0.500 0.317
Re1 Re 0.000 0.000 0.500
```

=====

Record 7
The following is a PBE calculation of crystalline ScTl2Os at its relaxed geometry, from Alexandria via LeMat-Bulk.

Computed properties:
Its distance to the lowest polymorph of the same formula is 137 meV/atom. The value obtained for the total energy is -5.2891 eV per atom. The calculation puts the formation energy from the elements at 109.8 kJ/mol of formula units.

Structure (CIF):
```
data_ScTl2Os
_chemical_formula_sum 'Sc3 Tl6 Os3'
_symmetry_space_group_name_H-M 'R 3 m'
_symmetry_Int_Tables_number 160
_symmetry_space_group_name_Hall 'R 3 -2"'
_cell_length_a 3.2643
_cell_length_b 3.2643
_cell_length_c 29.4716
_cell_angle_alpha 90.00
_cell_angle_beta 90.00
_cell_angle_gamma 120.00
loop_
_atom_site_label
_atom_site_type_symbol
_atom_site_fract_x
_atom_site_fract_y
_atom_site_fract_z
Sc1 Sc 0.0000 0.0000 0.0000
Tl1 Tl 0.0000 0.0000 0.5257
Tl2 Tl 0.0000 0.0000 0.7589
Os1 Os 0.0000 0.0000 0.2713
```

=====

Record 8
The following is a PBE calculation of crystalline TePdI at its relaxed geometry, from Alexandria via LeMat-Bulk.

Computed properties:
The value obtained for the total energy is -3.4847 eV per atom. The formation energy without anion corrections is -0.190 eV per atom.

Structure (CIF):
```
data_TePdI
_chemical_formula_sum 'Te1 Pd1 I1'
_symmetry_space_group_name_H-M 'P 3 m 1'
_symmetry_Int_Tables_number 156
_cell_length_a 4.0633
_cell_length_b 4.0633
_cell_length_c 5.7643
_cell_angle_alpha 90.00
_cell_angle_beta 90.00
_cell_angle_gamma 120.00
loop_
_symmetry_equiv_pos_as_xyz
'x,y,z'
'-y,x-y,z'
'-x+y,-x,z'
'-y,-x,z'
'-x+y,y,z'
'x,x-y,z'
loop_
_atom_site_label
_atom_site_type_symbol
_atom_site_fract_x
_atom_site_fract_y
_atom_site_fract_z
Te1 Te 0.0000 0.0000 0.0000
Pd1 Pd 0.3333 0.6667 0.7622
I1 I 0.6667 0.3333 0.4761
```

=====

Record 9
The following is a PBE calculation of crystalline Li2NiH6 at its relaxed geometry, from Alexandria via LeMat-Bulk.

Computed properties:
Its distance to the lowest polymorph of the same formula is 145 meV/atom. The value obtained for the total energy is -3.3733 eV per atom.

Structure (CIF):
```
data_Li2NiH6
_chemical_formula_sum 'Li4 Ni2 H12'
_symmetry_space_group_name_H-M 'I m m m'
_symmetry_Int_Tables_number 71
_symmetry_space_group_name_Hall '-I 2 2'
_cell_length_a 3.403
_cell_length_b 4.491
_cell_length_c 8.585
_cell_angle_alpha 90.00
_cell_angle_beta 90.00
_cell_angle_gamma 90.00
loop_
_atom_site_label
_atom_site_type_symbol
_atom_site_fract_x
_atom_site_fract_y
_atom_site_fract_z
Li1 Li 0.000 0.000 0.182
Ni1 Ni 0.000 0.000 0.500
H1 H 0.000 0.252 0.369
H2 H 0.000 0.401 0.000
```

=====

Record 10
The following is a PBE calculation of crystalline La14AlPb at its relaxed geometry, from Alexandria via LeMat-Bulk.

Computed properties:
The value obtained for the total energy is -4.8993 eV per atom. The calculation puts the formation energy from the elements at -188.5 kJ/mol of formula units.

Structure (CIF):
```
data_La14AlPb
_chemical_formula_sum 'La14 Al1 Pb1'
_symmetry_space_group_name_H-M 'P 4/m m m'
_symmetry_Int_Tables_number 123
_symmetry_space_group_name_Hall '-P 4 2'
_cell_length_a 7.232
_cell_length_b 7.232
_cell_length_c 10.431
_cell_angle_alpha 90.00
_cell_angle_beta 90.00
_cell_angle_gamma 90.00
loop_
_atom_site_label
_atom_site_type_symbol
_atom_site_fract_x
_atom_site_fract_y
_atom_site_fract_z
La1 La 0.000 0.000 0.000
La2 La 0.000 0.500 0.000
La3 La 0.000 0.500 0.500
La4 La 0.246 0.246 0.260
La5 La 0.500 0.500 0.000
Al1 Al 0.000 0.000 0.500
Pb1 Pb 0.500 0.500 0.500
```

=====

Record 11
The following is a PBE calculation of crystalline Mn3ICl at its relaxed geometry, from Alexandria via LeMat-Bulk.

Computed properties:
Its distance to the lowest polymorph of the same formula is 0 meV/atom. The value obtained for the total energy is -5.3989 eV per atom. The formation energy without anion corrections is 0.782 eV per atom.

Structure (CIF):
```
data_Mn3ICl
_chemical_formula_sum 'Mn3 I1 Cl1'
_symmetry_space_group_name_H-M 'P m -3 m'
_symmetry_Int_Tables_number 221
_symmetry_space_group_name_Hall '-P 4 2 3'
_cell_length_a 4.627
_cell_length_b 4.627
_cell_length_c 4.627
_cell_angle_alpha 90.00
_cell_angle_beta 90.00
_cell_angle_gamma 90.00
loop_
_atom_site_label
_atom_site_type_symbol
_atom_site_fract_x
_atom_site_fract_y
_atom_site_fract_z
Mn1 Mn 0.000 0.000 0.500
I1 I 0.500 0.500 0.500
Cl1 Cl 0.000 0.000 0.000
```

=====

Record 12
The following is a PBE calculation of crystalline YTaP2 at its relaxed geometry, from Alexandria via LeMat-Bulk.

Computed properties:
Its distance to the lowest polymorph of the same formula is 492 meV/atom. The value obtained for the total energy is -7.8621 eV per atom. The calculation puts the formation energy from the elements at -223.1 kJ/mol of formula units.

Structure (CIF):
```
data_YTaP2
_chemical_formula_sum 'Y4 Ta4 P8'
_symmetry_space_group_name_H-M 'F m -3 m'
_symmetry_Int_Tables_number 225
_symmetry_space_group_name_Hall '-F 4 2 3'
_cell_length_a 6.545
_cell_length_b 6.545
_cell_length_c 6.545
_cell_angle_alpha 90.00
_cell_angle_beta 90.00
_cell_angle_gamma 90.00
loop_
_atom_site_label
_atom_site_type_symbol
_atom_site_fract_x
_atom_site_fract_y
_atom_site_fract_z
Y1 Y 0.000 0.000 0.000
Ta1 Ta 0.000 0.000 0.500
P1 P 0.250 0.250 0.250
```

=====

Per-record V, Å³/cell: 174.15; 771.40; 651.78; 141.70; 379.74; 93.04; 271.97; 82.42; 131.21; 545.62; 99.06; 280.35